LaY2Ho2 | the Alexandria database | PBE | optimized geometry; space-group type = No. 127; volume = 336.7 Å³ per cell; density = 6.4 g/cm³; relative energy among the computed polymorphs = 0.0 meV/atom; magnetization = 0.00 μB per atom; DFT formation energy = 0.078 eV per atom; density of states at the Fermi level = 12.6 states/eV per cell; total energy = -5.32 eV per atom
1.0
-8.970 1.412 2.731
-1.048 -9.323 1.378
1.141 0.395 3.545
Y Ho La
4 4 2
direct
0.172 0.328 0.500 Y
0.672 0.172 0.500 Y
0.828 0.672 0.500 Y
0.328 0.828 0.500 Y
0.624 0.876 0.000 Ho
0.376 0.124 0.000 Ho
0.124 0.624 0.000 Ho
0.876 0.376 0.000 Ho
0.000 0.000 0.000 La
0.500 0.500 0.000 La